Record 1
Zn2Pb2Se PBE-GGA relaxed; D(E_F) = 0.505 states/eV per atom; total magnetization = 0.000 μB/atom; mass density = 7.937 g/cm3; crystal system = tetragonal; E_form (uncorrected) = 99 meV/atom; ΔE to the lowest computed polymorph = 1.63 kcal/mol of atoms
1.0
-8.1979 -0.1984 -0.4191
-0.3379 -2.5275 7.8050
-0.1498 3.6844 1.1867
Pb Zn Se
4 4 2
direct
0.3047 0.8047 0.0000
0.8047 0.6953 0.0000
0.6953 0.1953 0.0000
0.1953 0.3047 0.0000
0.1110 0.6110 0.5000
0.6110 0.8890 0.5000
0.8890 0.3890 0.5000
0.3890 0.1110 0.5000
0.0000 0.0000 0.0000
0.5000 0.5000 0.0000

---

Record 2
Ce2Pu2Al PBE-GGA relaxed; D(E_F) = 2.128 states/eV per atom; total magnetization = 0.087 μB/atom; mass density = 10.921 g/cm3; crystal system = triclinic; DFT total energy = -8.8524 eV/atom
1.0
4.1471 0.0102 0.4564
1.8097 6.0559 0.9594
-1.3948 0.2244 9.5110
Ce Pu Al
4 4 2
direct
0.3834 0.2977 0.0925
0.6019 0.3274 0.6600
0.6166 0.7023 0.9075
0.3981 0.6726 0.3400
0.1258 0.1160 0.8803
0.0589 0.3772 0.3378
0.8742 0.8840 0.1197
0.9411 0.6228 0.6622
0.7344 0.0262 0.4106
0.2656 0.9738 0.5894

---

Record 3
Ce4SnIr PBE-GGA relaxed; D(E_F) = 2.534 states/eV per atom; total magnetization = 0.179 μB/atom; mass density = 9.256 g/cm3; crystal system = monoclinic; ΔE to the lowest computed polymorph = 0.25 kcal/mol of atoms
1.0
-3.6077 -4.5264 -0.4264
7.2609 -2.3619 2.7948
-4.0184 4.5654 5.4576
Ce Sn Ir
8 2 2
direct
0.0617 0.2194 0.8468
0.8100 0.7213 0.6213
0.2851 0.6274 0.8468
0.3113 0.9000 0.6213
0.6887 0.1000 0.3787
0.7149 0.3726 0.1532
0.1900 0.2787 0.3787
0.9383 0.7806 0.1532
0.3741 0.6241 0.2483
0.6259 0.3759 0.7517
0.2641 0.0141 0.0282
0.7359 0.9859 0.9718